[1]
Cr2InGeAs, optimized geometry, DFT GGA-PBE; SG = P4/mmm (123); energy of formation = 18.7 kcal/mol of atoms
1.0
-3.1044 -3.6358 0.0716
3.3499 -2.9120 -2.6247
1.8910 -1.5336 4.1150
In Cr Ge As
1 2 1 1
Direct
0.0000 0.5000 0.0000
0.0000 0.0000 0.5000
0.5000 0.0000 0.0000
0.0000 0.0000 0.0000
0.5000 0.5000 0.5000

[2]
Al2AgCl, optimized geometry, DFT GGA-PBE; energy above the most stable polymorph in this dataset = 32 kJ/mol of formula units; ΔE_f (raw) = -0.1479 eV per atom; SG = Pmmm (47)
1.0
3.2881 0.0000 0.0000
0.0000 3.1017 0.0003
0.0000 -0.0013 7.4247
Al Cl Ag
2 1 1
Direct
0.0000 0.2501 0.5320
0.0000 0.2499 0.9680
0.5000 0.2500 0.2500
0.5000 0.7500 0.7500

[3]
Tb2SnRh, optimized geometry, DFT GGA-PBE; SG = P4/mmm (123); energy of formation = -17.6 kcal/mol of atoms
1.0
-2.2907 -2.4692 0.7847
2.2876 -2.4193 -0.9349
2.7914 -0.2299 7.4252
Tb Sn Rh
2 1 1
Direct
0.0000 0.0000 0.7858
0.0000 0.0000 0.2142
0.5000 0.5000 0.5000
0.5000 0.5000 0.0000

[4]
TmZn4Ag8, optimized geometry, DFT GGA-PBE; SG = I4/mmm (139); energy of formation = -2.8 kcal/mol of atoms
1.0
5.2803 0.0000 0.0000
2.6402 6.6035 0.0000
2.6402 0.0000 6.6035
Ag Zn Tm
8 4 1
Direct
0.6551 0.3449 0.3449
0.7142 0.7858 0.7858
0.2858 0.2142 0.2142
0.3449 0.6551 0.6551
0.5000 0.2142 0.7858
0.5000 0.7858 0.2142
0.0000 0.6551 0.3449
0.0000 0.3449 0.6551
0.5000 0.5000 0.0000
0.0000 0.0000 0.5000
0.0000 0.5000 0.0000
0.5000 0.0000 0.5000
0.0000 0.0000 0.0000

[5]
HoCdH8Ir2, optimized geometry, DFT GGA-PBE; SG = C2/m (12); calculated total energy = -4.3075 eV per atom
1.0
4.3296 0.0000 0.0000
2.1648 4.3374 0.2925
2.1648 1.9768 5.8481
H Ho Ir Cd
8 1 2 1
Direct
0.7057 0.4622 0.1265
0.9331 0.9770 0.6669
0.5770 0.0230 0.3331
0.4230 0.9770 0.6669
0.9115 0.5367 0.6404
0.0885 0.4633 0.3596
0.0669 0.0230 0.3331
0.2943 0.5378 0.8735
0.5000 0.5000 0.5000
0.7205 0.7192 0.8398
0.2795 0.2808 0.1602
0.0000 0.0000 0.0000

[6]
Hf5TiIn2, optimized geometry, DFT GGA-PBE; energy above the most stable polymorph in this dataset = 26 kJ/mol of formula units; SG = I4/mmm (139); energy of formation = -2.2 kcal/mol of atoms
1.0
-2.6735 -0.7525 -3.3634
3.3057 0.6448 -2.7719
1.7172 -8.8007 3.4326
Ti Hf In
1 5 2
Direct
0.0000 0.0000 0.0000
0.1198 0.6198 0.2396
0.8802 0.3802 0.7604
0.3802 0.8802 0.7604
0.6198 0.1198 0.2396
0.5000 0.5000 0.0000
0.7502 0.7502 0.5005
0.2498 0.2498 0.4995

[7]
Re2BiPd, optimized geometry, DFT GGA-PBE; SG = I-42d (122); energy of formation = 43.8 kcal/mol of atoms
1.0
-5.8972 -1.1829 -0.4022
0.5979 -4.3757 4.1029
-3.6828 0.9633 5.9923
Re Bi Pd
4 2 2
Direct
0.5816 0.1250 0.2500
0.1684 0.6250 0.2500
0.8750 0.8316 0.7500
0.3750 0.4184 0.7500
0.7500 0.2500 0.5000
0.0000 0.0000 0.0000
0.2500 0.7500 0.5000
0.5000 0.5000 0.0000

[8]
ErScF5, optimized geometry, DFT GGA-PBE; ΔE_f (raw) = -3.7774 eV per atom; SG = C2/c (15)
1.0
5.8083 -0.2304 -0.1036
1.6242 5.5814 -0.1036
2.5380 1.8272 6.7451
Er F Sc
2 10 2
Direct
0.4649 0.5351 0.7500
0.5351 0.4649 0.2500
0.3200 0.6712 0.4697
0.7742 0.7380 0.1241
0.7380 0.7742 0.6241
0.1560 0.8440 0.7500
0.2620 0.2258 0.3759
0.2258 0.2620 0.8759
0.3288 0.6800 0.0303
0.6800 0.3288 0.5303
0.8440 0.1560 0.2500
0.6712 0.3200 0.9697
0.0000 0.0000 0.5000
0.0000 0.0000 0.0000

[9]
PmAl3PtAu, optimized geometry, DFT GGA-PBE; SG = Cmcm (63); energy of formation = -11.7 kcal/mol of atoms
1.0
-0.2208 4.4604 4.0764
-3.2586 -4.0249 4.2276
7.3644 0.0040 0.3946
Au Pm Al Pt
2 2 6 2
Direct
0.7500 0.6193 0.2386
0.2500 0.3807 0.7614
0.2500 0.7867 0.5734
0.7500 0.2133 0.4266
0.5000 0.7058 0.0000
0.2500 0.2000 0.4001
0.0000 0.2942 0.0000
0.0000 0.7058 0.0000
0.5000 0.2942 0.0000
0.7500 0.8000 0.5999
0.7500 0.9782 0.9564
0.2500 0.0218 0.0436